{
  "formula": "LiCaW4",
  "functional": "PBE-GGA",
  "state": "optimized geometry",
  "ef_kj_per_mol_fu": 408,
  "vol_a3_per_atom": 19.0,
  "dft_energy_ev_per_cell": -51.5,
  "n_ef_per_ev_cell": 6.48,
  "lattice": [[0.000, 3.851, 3.851], [3.851, 0.000, 3.851], [3.851, 3.851, 0.000]],
  "species": ["Li", "Ca", "W", "W", "W", "W"],
  "fractional_positions": [[0.000, 0.000, 0.000], [0.750, 0.750, 0.750], [0.876, 0.375, 0.375], [0.375, 0.375, 0.876], [0.375, 0.876, 0.375], [0.375, 0.375, 0.375]]
}